Record 1
Compound: Na3HPd3Au2
Source: Alexandria via LeMat-Bulk
Functional: PBE
Structure: relaxed

Calculated values
- Fermi-level density of states (states/eV/atom) = 0.2207
- calculated total energy (eV/cell) = -29.75

a = 7.0510 Å, b = 7.0510 Å, c = 3.6373 Å
α = 90.00°, β = 90.00°, γ = 120.00°
Space group P-62m (No. 189)
One atom of each set of equivalent atoms:
Na (0.0000, 0.3800, 0.0000) [3 per cell]
H (0.0000, 0.0000, 0.0000) [1 per cell]
Pd (0.0000, 0.7772, 0.5000) [3 per cell]
Au (0.3333, 0.6667, 0.5000) [2 per cell]


Record 2
Compound: CdIrOs2
Source: Alexandria via LeMat-Bulk
Functional: PBE
Structure: relaxed

Calculated values
- Fermi-level density of states (states/eV/atom) = 0.9427
- ΔE_f (kcal/mol of atoms) = 9.97

a = 9.268 Å, b = 2.764 Å, c = 4.953 Å
α = 90.00°, β = 99.50°, γ = 90.00°
Space group Cm (No. 8)
One atom of each set of equivalent atoms:
Cd (0.000, 0.000, 0.000) [2 per cell]
Ir (0.242, 0.000, 0.761) [2 per cell]
Os (0.005, 0.500, 0.492) [2 per cell]
Os (0.263, 0.500, 0.304) [2 per cell]